{
  "formula": "LiGaSe3",
  "functional": "PBE-GGA",
  "state": "relaxed",
  "raw_formation_energy_ev_per_atom": -0.59,
  "n_ef_per_ev_cell": 1.0,
  "spacegroup": "P-1, No. 2",
  "cell": [[4.0770, 0.0008, 0.0028], [-2.0330, 9.5676, -0.0810], [0.0025, -3.7711, 6.4924]],
  "species": ["Li", "Li", "Ga", "Ga", "Se", "Se", "Se", "Se", "Se", "Se"],
  "frac_coords": [[0.3903, 0.7740, 0.6719], [0.6097, 0.2260, 0.3281], [0.1188, 0.2377, 0.8592], [0.8812, 0.7623, 0.1408], [0.1533, 0.3112, 0.5934], [0.6744, 0.3504, 0.0836], [0.0209, 0.0479, 0.2362], [0.8467, 0.6888, 0.4066], [0.9791, 0.9521, 0.7638], [0.3256, 0.6496, 0.9164]]
}